This record from Alexandria describes a relaxed Cd2FeMoO6 crystal. The functional is PBE with a Hubbard U.

## Properties
For the uncorrected energy, the calculation gives -5.62 eV/atom. The total magnetization is 5.97 μB/cell.

Cell lengths 5.3531, 5.3531, 4.8589 Å; angles 90.00, 90.00, 90.00 degrees
Space group P4mm (No. 99)
Asymmetric unit:
Cd 0.0000 0.5000 0.0000 (multiplicity 2)
Fe 0.0000 0.0000 0.5896 (multiplicity 1)
Mo 0.5000 0.5000 0.5797 (multiplicity 1)
O 0.0000 0.0000 0.2078 (multiplicity 1)
O 0.2541 0.2541 0.7187 (multiplicity 4)
O 0.5000 0.5000 0.2120 (multiplicity 1)